The following is a GGA-PBEsol calculation of a relaxed NiPdN2 crystal, from Alexandria.

```
NiPdN2
1.0
1.394 0.805 5.904
-1.394 0.805 5.904
0.000 -1.610 5.904
Ni Pd N
1 1 2
Direct
0.000 0.000 0.000
0.500 0.500 0.500
0.391 0.391 0.391
0.609 0.609 0.609
```

Calculated values
Electronic total energy ... -6.86 eV per atom
Mass density ... 8.07 g/cm3
Uncorrected formation energy ... 430.8 meV per atom
Calculated volume ... 9.9 A^3/atom